No. 1
The following is a PBE calculation of Pm3Mg2Ga4 after structural relaxation, from Alexandria via LeMat-Bulk.

abc: 4.6047 5.9671 8.9304
angles: 70.30 75.06 67.30
Fractional coordinates of all 9 atoms:
Ga: 0.0725 0.2691 0.5860
Ga: 0.7002 0.6285 0.9711
Ga: 0.2998 0.3715 0.0289
Ga: 0.9275 0.7309 0.4140
Pm: 0.0000 0.0000 0.0000
Pm: 0.3353 0.6595 0.6700
Pm: 0.6647 0.3405 0.3300
Mg: 0.6143 0.0530 0.7184
Mg: 0.3857 0.9470 0.2816

The density of states at the Fermi level comes out at 4.26 states/eV/cell. As for the volume: 23.4 Å³ per atom. As for the formation energy: -0.50 eV per atom. The value obtained for the distance to the lowest polymorph of the same formula is 0 meV/atom.

=====

No. 2
The following is a PBE calculation of RbHfB after structural relaxation, from Alexandria via LeMat-Bulk.

abc: 7.0562 6.5761 3.2705
angles: 103.80 89.94 83.07
Fractional coordinates of all 6 atoms:
Hf: 0.5255 0.7563 0.3837
Hf: 0.4745 0.2437 0.6163
Rb: 0.9576 0.2524 0.6499
Rb: 0.0424 0.7476 0.3501
B: 0.3808 0.0009 0.0003
B: 0.6192 0.9991 0.9997

The density of states at the Fermi level comes out at 0.87 states/eV/cell. As for the volume: 24.4 Å³ per atom. As for the formation energy: 0.46 eV per atom. The value obtained for the distance to the lowest polymorph of the same formula is 417 meV/atom.

=====

No. 3
The following is a PBE calculation of BaLa2Ti after structural relaxation, from Alexandria via LeMat-Bulk.

abc: 9.1192 9.1192 7.3513
angles: 51.67 51.67 90.00
Each line ends with the local moment (μB).
Fractional coordinates of all 8 atoms:
La: 0.5782 0.1250 0.2500  0.23
La: 0.3750 0.4218 0.7500  0.24
La: 0.8750 0.8282 0.7500  0.24
La: 0.1718 0.6250 0.2500  0.23
Ba: 0.7500 0.2500 0.5000  0.07
Ba: 0.0000 0.0000 0.0000  0.07
Ti: 0.5000 0.5000 0.0000  1.56
Ti: 0.2500 0.7500 0.5000  1.56

The density of states at the Fermi level comes out at 18.93 states/eV/cell. As for the volume: 36.7 Å³ per atom. As for the formation energy: 0.62 eV per atom. The value obtained for the distance to the lowest polymorph of the same formula is 146 meV/atom.

=====

No. 4
The following is a PBE calculation of Al2VRu after structural relaxation, from Alexandria via LeMat-Bulk.

abc: 6.8314 6.8314 5.5058
angles: 51.66 51.66 90.00
Fractional coordinates of all 8 atoms:
Ru: 0.0000 0.0000 0.0000
Ru: 0.7500 0.2500 0.5000
Al: 0.3750 0.3616 0.7500
Al: 0.8750 0.8884 0.7500
Al: 0.1116 0.6250 0.2500
Al: 0.6384 0.1250 0.2500
V: 0.2500 0.7500 0.5000
V: 0.5000 0.5000 0.0000

The density of states at the Fermi level comes out at 6.18 states/eV/cell. As for the volume: 15.4 Å³ per atom. As for the formation energy: 0.17 eV per atom. The value obtained for the distance to the lowest polymorph of the same formula is 562 meV/atom.

=====

No. 5
The following is a PBE calculation of AgCl2 after structural relaxation, from Alexandria via LeMat-Bulk.

abc: 5.6349 5.6349 5.6349
angles: 111.57 111.57 105.35
Fractional coordinates of all 6 atoms:
Cl: 0.2502 0.7502 0.0004
Cl: 0.2498 0.2502 0.5000
Cl: 0.7498 0.2498 0.9996
Cl: 0.7502 0.7498 0.5000
Ag: 0.2500 0.2500 0.0000
Ag: 0.7500 0.7500 0.0000

As for the formation energy (no corrections): -0.047 eV/atom. The density of states at the Fermi level comes out at 8.66 states/eV/cell. As for the volume: 22.9 Å³ per atom.

=====

No. 6
The following is a PBE calculation of RbScTlNi2 after structural relaxation, from Alexandria via LeMat-Bulk.

abc: 4.9909 5.7987 4.9909
angles: 90.00 90.00 90.00
Each line ends with the local moment (μB).
Fractional coordinates of all 5 atoms:
Ni: 0.5000 0.0000 0.0000  0.22
Ni: 0.0000 0.0000 0.5000  0.15
Rb: 0.0000 0.5000 0.0000  0.03
Sc: 0.5000 0.5000 0.5000  0.70
Tl: 0.0000 0.0000 0.0000  0.00

The density of states at the Fermi level comes out at 8.04 states/eV/cell. As for the volume: 28.9 Å³ per atom. As for the formation energy: 1.20 eV per atom.